Below is a relaxed structure of Ac3Pm2Pr8, with properties calculated at the PBE-GGA level.

Calculated values
Uncorrected energy ... -56.93 eV/cell
Theoretical density ... 6.800 g cm⁻³
Energy of formation from the pure elements ... 23 kJ/mol of atoms

Cell: 11.4103 11.4103 5.9025 Å, 90.17 90.17 41.82°
Last column: nearest neighbours and their distance in Å.
Element x y z (fractional)
Ac1 0.0000 0.0000 0.0000  4 Pr 3.42, 4 Ac 3.76
Ac2 0.2859 0.7141 0.5000  3 Ac 3.49-3.76, 6 Pr 3.71-3.81
Ac3 0.7141 0.2859 0.5000  3 Ac 3.49-3.76, 6 Pr 3.71-3.81
Pm1 0.2398 0.2398 0.9945  8 Pr 3.42-3.72
Pm2 0.7602 0.7602 0.0055  8 Pr 3.42-3.72
Pr1 0.1356 0.1356 0.4980  2 Pm 3.67-3.72, 2 Ac 3.71, 5 Pr 3.84-3.95
Pr2 0.1853 0.5890 0.9986  3 Pr 3.29-3.67, 1 Ac 3.42, 2 Pm 3.55-3.64
Pr3 0.3211 0.3211 0.4956  2 Pm 3.42, 4 Pr 3.65-3.67
Pr4 0.4110 0.8147 0.0014  3 Pr 3.29-3.67, 1 Ac 3.42, 2 Pm 3.55-3.64
Pr5 0.5890 0.1853 0.9986  3 Pr 3.29-3.67, 1 Ac 3.42, 2 Pm 3.55-3.64
Pr6 0.6789 0.6789 0.5044  2 Pm 3.42, 4 Pr 3.65-3.67
Pr7 0.8147 0.4110 0.0014  3 Pr 3.29-3.67, 1 Ac 3.42, 2 Pm 3.55-3.64
Pr8 0.8644 0.8644 0.5020  2 Pm 3.67-3.72, 2 Ac 3.71, 5 Pr 3.84-3.95

Below is a relaxed structure of Ac12PmPr7, with properties calculated at the PBE-GGA level.

Calculated values
Uncorrected energy ... -75.43 eV/cell
Theoretical density ... 6.935 g cm⁻³
Energy of formation from the pure elements ... 58 kJ/mol of atoms
ΔE to the lowest computed polymorph ... 420 meV/atom

Cell: 10.6243 10.6243 10.6243 Å, 109.47 109.47 109.47°
Last column: nearest neighbours and their distance in Å.
Element x y z (fractional)
Ac1 0.0760 0.7878 0.2883  2 Pr 3.14
Ac2 0.2122 0.2883 0.5005  2 Pr 3.14
Ac3 0.2122 0.7117 0.9240  2 Pr 3.14
Ac4 0.2883 0.0760 0.7878  2 Pr 3.14
Ac5 0.2883 0.5005 0.2122  2 Pr 3.14
Ac6 0.5005 0.2122 0.2883  2 Pr 3.14
Ac7 0.4995 0.7878 0.7117  2 Pr 3.14
Ac8 0.7117 0.4995 0.7878  2 Pr 3.14
Ac9 0.7117 0.9240 0.2122  2 Pr 3.14
Ac10 0.7878 0.2883 0.0760  2 Pr 3.14
Ac11 0.7878 0.7117 0.4995  2 Pr 3.14
Ac12 0.9240 0.2122 0.7117  2 Pr 3.14
Pm1 0.0000 0.0000 0.0000  12 Ac 4.39
Pr1 0.0000 0.0000 0.5000  6 Ac 3.14
Pr2 0.0000 0.5000 0.0000  6 Ac 3.14
Pr3 0.0000 0.5000 0.5000  4 Ac 3.68
Pr4 0.5000 0.0000 0.0000  6 Ac 3.14
Pr5 0.5000 0.0000 0.5000  4 Ac 3.68
Pr6 0.5000 0.5000 0.0000  4 Ac 3.68
Pr7 0.5000 0.5000 0.5000  6 Ac 3.14

Below is a relaxed structure of AcPm8Pr3, with properties calculated at the PBE-GGA level.

Calculated values
Uncorrected energy ... -52.97 eV/cell
Theoretical density ... 6.548 g cm⁻³
Energy of formation from the pure elements ... 28 kJ/mol of atoms

Cell: 8.9931 8.9931 8.9931 Å, 137.36 98.23 96.96°
Last column: nearest neighbours and their distance in Å.
Element x y z (fractional)
Ac1 0.0000 0.0000 0.0000  8 Pm 3.49-3.64
Pm1 0.0756 0.8235 0.2521  6 Pm 3.45-3.71, 2 Pr 3.60-3.86, 1 Ac 3.64
Pm2 0.2609 0.0185 0.7576  6 Pm 3.17-3.51, 1 Pr 3.31, 1 Ac 3.49
Pm3 0.2609 0.5033 0.2424  6 Pm 3.17-3.51, 1 Pr 3.31, 1 Ac 3.49
Pm4 0.4286 0.1765 0.2521  6 Pm 3.45-3.71, 2 Pr 3.60-3.86, 1 Ac 3.64
Pm5 0.5714 0.8235 0.7479  6 Pm 3.45-3.71, 2 Pr 3.60-3.86, 1 Ac 3.64
Pm6 0.7391 0.4967 0.7576  6 Pm 3.17-3.51, 1 Pr 3.31, 1 Ac 3.49
Pm7 0.7391 0.9815 0.2424  6 Pm 3.17-3.51, 1 Pr 3.31, 1 Ac 3.49
Pm8 0.9244 0.1765 0.7479  6 Pm 3.45-3.71, 2 Pr 3.60-3.86, 1 Ac 3.64
Pr1 0.2593 0.5000 0.7593  10 Pm 3.86-4.32
Pr2 0.5000 0.0000 0.5000  8 Pm 3.31-3.60
Pr3 0.7407 0.5000 0.2407  10 Pm 3.86-4.32

Below is a relaxed structure of Ac12PmPr6, with properties calculated at the PBE-GGA level.

Calculated values
Uncorrected energy ... -82.14 eV/cell
Theoretical density ... 7.780 g cm⁻³
Energy of formation from the pure elements ... 3 kJ/mol of atoms

Cell: 10.2859 10.2859 10.2859 Å, 110.83 110.83 110.83°
Last column: nearest neighbours and their distance in Å.
Element x y z (fractional)
Ac1 0.0640 0.3753 0.5829  4 Pr 3.82-4.00, 8 Ac 3.89-3.96
Ac2 0.1024 0.7377 0.1553  1 Pm 3.85, 8 Ac 3.85-3.96, 3 Pr 3.91-3.99
Ac3 0.1553 0.1024 0.7377  1 Pm 3.85, 8 Ac 3.85-3.96, 3 Pr 3.91-3.99
Ac4 0.2623 0.8447 0.8976  1 Pm 3.85, 8 Ac 3.85-3.96, 3 Pr 3.91-3.99
Ac5 0.3753 0.5829 0.0640  4 Pr 3.82-4.00, 8 Ac 3.89-3.96
Ac6 0.4171 0.9360 0.6247  4 Pr 3.82-4.00, 8 Ac 3.89-3.96
Ac7 0.5829 0.0640 0.3753  4 Pr 3.82-4.00, 8 Ac 3.89-3.96
Ac8 0.6247 0.4171 0.9360  4 Pr 3.82-4.00, 8 Ac 3.89-3.96
Ac9 0.7377 0.1553 0.1024  1 Pm 3.85, 8 Ac 3.85-3.96, 3 Pr 3.91-3.99
Ac10 0.8447 0.8976 0.2623  1 Pm 3.85, 8 Ac 3.85-3.96, 3 Pr 3.91-3.99
Ac11 0.8976 0.2623 0.8447  1 Pm 3.85, 8 Ac 3.85-3.96, 3 Pr 3.91-3.99
Ac12 0.9360 0.6247 0.4171  4 Pr 3.82-4.00, 8 Ac 3.89-3.96
Pm1 0.0000 0.0000 0.0000  6 Ac 3.85, 6 Pr 3.86
Pr1 0.2148 0.4689 0.3177  4 Pr 3.75-3.85, 7 Ac 3.82-4.00, 1 Pm 3.86
Pr2 0.3177 0.2148 0.4689  4 Pr 3.75-3.85, 7 Ac 3.82-4.00, 1 Pm 3.86
Pr3 0.4689 0.3177 0.2148  4 Pr 3.75-3.85, 7 Ac 3.82-4.00, 1 Pm 3.86
Pr4 0.5311 0.6823 0.7852  4 Pr 3.75-3.85, 7 Ac 3.82-4.00, 1 Pm 3.86
Pr5 0.6823 0.7852 0.5311  4 Pr 3.75-3.85, 7 Ac 3.82-4.00, 1 Pm 3.86
Pr6 0.7852 0.5311 0.6823  4 Pr 3.75-3.85, 7 Ac 3.82-4.00, 1 Pm 3.86

Below is a relaxed structure of Ac5Pm2Pr6, with properties calculated at the PBE-GGA level.

Calculated values
Uncorrected energy ... -115.28 eV/cell
Theoretical density ... 7.295 g cm⁻³
Energy of formation from the pure elements ... 8 kJ/mol of atoms

Cell: 12.1895 22.1502 3.8283 Å, 90.00 90.00 90.00°
Last column: nearest neighbours and their distance in Å.
Element x y z (fractional)
Ac1 0.0000 0.0000 0.0000  6 Pr 3.66-3.77, 4 Ac 3.83-4.10
Ac2 0.0503 0.2892 0.0000  5 Pr 3.66-3.79, 4 Pm 3.71-3.74, 2 Ac 3.83
Ac3 0.1932 0.5758 0.0000  4 Ac 3.83-4.21, 6 Pr 3.86-3.89, 2 Pm 3.95
Ac4 0.3068 0.0758 0.0000  4 Ac 3.83-4.21, 6 Pr 3.86-3.89, 2 Pm 3.95
Ac5 0.4497 0.7892 0.0000  5 Pr 3.66-3.79, 4 Pm 3.71-3.74, 2 Ac 3.83
Ac6 0.5000 0.5000 0.0000  6 Pr 3.66-3.77, 4 Ac 3.83-4.10
Ac7 0.5503 0.2108 0.0000  5 Pr 3.66-3.79, 4 Pm 3.71-3.74, 2 Ac 3.83
Ac8 0.6932 0.9242 0.0000  4 Ac 3.83-4.21, 6 Pr 3.86-3.89, 2 Pm 3.95
Ac9 0.8068 0.4242 0.0000  4 Ac 3.83-4.21, 6 Pr 3.86-3.89, 2 Pm 3.95
Ac10 0.9497 0.7108 0.0000  5 Pr 3.66-3.79, 4 Pm 3.71-3.74, 2 Ac 3.83
Pm1 0.2078 0.7317 0.5000  3 Pr 3.47-3.65, 4 Ac 3.71-3.74, 2 Pm 3.83
Pm2 0.2922 0.2317 0.5000  3 Pr 3.47-3.65, 4 Ac 3.71-3.74, 2 Pm 3.83
Pm3 0.7078 0.7683 0.5000  3 Pr 3.47-3.65, 4 Ac 3.71-3.74, 2 Pm 3.83
Pm4 0.7922 0.2683 0.5000  3 Pr 3.47-3.65, 4 Ac 3.71-3.74, 2 Pm 3.83
Pr1 0.0573 0.1434 0.5000  1 Pm 3.47, 4 Pr 3.58-3.83, 4 Ac 3.76-3.77
Pr2 0.0813 0.4358 0.5000  5 Pr 3.47-3.83, 4 Ac 3.79-3.86
Pr3 0.1896 0.8717 0.0000  6 Pr 3.58-3.83, 2 Pm 3.65, 2 Ac 3.66
Pr4 0.3104 0.3717 0.0000  6 Pr 3.58-3.83, 2 Pm 3.65, 2 Ac 3.66
Pr5 0.4187 0.9358 0.5000  5 Pr 3.47-3.83, 4 Ac 3.79-3.86
Pr6 0.4427 0.6434 0.5000  1 Pm 3.47, 4 Pr 3.58-3.83, 4 Ac 3.76-3.77
Pr7 0.5573 0.3566 0.5000  1 Pm 3.47, 4 Pr 3.58-3.83, 4 Ac 3.76-3.77
Pr8 0.5813 0.0642 0.5000  5 Pr 3.47-3.83, 4 Ac 3.79-3.86
Pr9 0.6896 0.6283 0.0000  6 Pr 3.58-3.83, 2 Pm 3.65, 2 Ac 3.66
Pr10 0.8104 0.1283 0.0000  6 Pr 3.58-3.83, 2 Pm 3.65, 2 Ac 3.66
Pr11 0.9187 0.5642 0.5000  5 Pr 3.47-3.83, 4 Ac 3.79-3.86
Pr12 0.9427 0.8566 0.5000  1 Pm 3.47, 4 Pr 3.58-3.83, 4 Ac 3.76-3.77

Below is a relaxed structure of Ac2Pm7Pr2, with properties calculated at the PBE-GGA level.

Calculated values
Uncorrected energy ... -49.35 eV/cell
Theoretical density ... 7.122 g cm⁻³
Energy of formation from the pure elements ... 15 kJ/mol of atoms
ΔE to the lowest computed polymorph ... 0 meV/atom

Cell: 8.3786 8.3786 6.2939 Å, 105.25 105.25 92.49°
Last column: nearest neighbours and their distance in Å.
Element x y z (fractional)
Ac1 0.2311 0.2311 0.0859  8 Pm 3.56-3.82, 2 Pr 3.73
Ac2 0.7689 0.7689 0.9141  8 Pm 3.56-3.82, 2 Pr 3.73
Pm1 0.0000 0.0000 0.5000  4 Pm 3.40, 2 Ac 3.64
Pm2 0.0660 0.5933 0.3391  2 Pm 3.23-3.40, 1 Pr 3.42, 1 Ac 3.56
Pm3 0.4067 0.9340 0.6609  2 Pm 3.23-3.40, 1 Pr 3.42, 1 Ac 3.56
Pm4 0.4126 0.4126 0.6953  6 Pm 3.59-3.96, 3 Ac 3.61-3.82, 2 Pr 3.75
Pm5 0.5874 0.5874 0.3047  6 Pm 3.59-3.96, 3 Ac 3.61-3.82, 2 Pr 3.75
Pm6 0.5933 0.0660 0.3391  2 Pm 3.23-3.40, 1 Pr 3.42, 1 Ac 3.56
Pm7 0.9340 0.4067 0.6609  2 Pm 3.23-3.40, 1 Pr 3.42, 1 Ac 3.56
Pr1 0.2276 0.7724 0.0000  6 Pm 3.42-3.75, 2 Ac 3.73
Pr2 0.7724 0.2276 0.0000  6 Pm 3.42-3.75, 2 Ac 3.73

Below is a relaxed structure of Ac7Pm3Pr, with properties calculated at the PBE-GGA level.

Calculated values
Uncorrected energy ... -45.16 eV/cell
Theoretical density ... 7.632 g cm⁻³
Energy of formation from the pure elements ... 23 kJ/mol of atoms
ΔE to the lowest computed polymorph ... 0 meV/atom

Cell: 9.1396 9.1396 6.4537 Å, 110.63 110.63 86.41°
Last column: nearest neighbours and their distance in Å.
Element x y z (fractional)
Ac1 0.0000 0.0000 0.0000  2 Pr 3.23
Ac2 0.1029 0.5200 0.3112  2 Pm 3.41-3.77, 2 Ac 3.68
Ac3 0.2976 0.2976 0.7981  1 Pr 3.47, 2 Pm 3.53, 2 Ac 3.86
Ac4 0.4800 0.8971 0.6888  2 Pm 3.41-3.77, 2 Ac 3.68
Ac5 0.5200 0.1029 0.3112  2 Pm 3.41-3.77, 2 Ac 3.68
Ac6 0.7024 0.7024 0.2019  1 Pr 3.47, 2 Pm 3.53, 2 Ac 3.86
Ac7 0.8971 0.4800 0.6888  2 Pm 3.41-3.77, 2 Ac 3.68
Pm1 0.2901 0.7099 0.0000  9 Ac 3.53-3.91
Pm2 0.5000 0.5000 0.5000  4 Ac 3.41
Pm3 0.7099 0.2901 0.0000  9 Ac 3.53-3.91
Pr1 0.0000 0.0000 0.5000  4 Ac 3.23-3.47

Below is a relaxed structure of AcPm7Pr4, with properties calculated at the PBE-GGA level.

Calculated values
Uncorrected energy ... -56.25 eV/cell
Theoretical density ... 6.949 g cm⁻³
Energy of formation from the pure elements ... 2 kJ/mol of atoms
ΔE to the lowest computed polymorph ... 0 meV/atom

Cell: 6.4587 7.4383 9.2376 Å, 89.96 76.48 89.90°
Last column: nearest neighbours and their distance in Å.
Element x y z (fractional)
Ac1 0.0000 0.0000 0.0000  10 Pm 3.70-3.74, 2 Pr 3.71
Pm1 0.0000 0.5000 0.0000  4 Pr 3.66-3.69, 6 Pm 3.68-3.72, 2 Ac 3.72
Pm2 0.2228 0.0003 0.3349  6 Pm 3.67-3.75, 5 Pr 3.68-3.76, 1 Ac 3.70
Pm3 0.2806 0.7475 0.6668  6 Pr 3.66-3.75, 5 Pm 3.67-3.75, 1 Ac 3.70
Pm4 0.4998 0.2521 0.0007  3 Pr 3.67-3.69, 7 Pm 3.67-3.75, 2 Ac 3.73-3.74
Pm5 0.5002 0.7479 0.9993  3 Pr 3.67-3.69, 7 Pm 3.67-3.75, 2 Ac 3.73-3.74
Pm6 0.7194 0.2525 0.3332  6 Pr 3.66-3.75, 5 Pm 3.67-3.75, 1 Ac 3.70
Pm7 0.7772 0.9997 0.6651  6 Pm 3.67-3.75, 5 Pr 3.68-3.76, 1 Ac 3.70
Pr1 0.2189 0.5005 0.3313  8 Pm 3.66-3.72, 4 Pr 3.69-3.72
Pr2 0.2819 0.2518 0.6657  8 Pm 3.66-3.76, 3 Pr 3.70-3.72, 1 Ac 3.71
Pr3 0.7181 0.7482 0.3343  8 Pm 3.66-3.76, 3 Pr 3.70-3.72, 1 Ac 3.71
Pr4 0.7811 0.4995 0.6687  8 Pm 3.66-3.72, 4 Pr 3.69-3.72

Below is a relaxed structure of Ac2Pm4Pr3, with properties calculated at the PBE-GGA level.

Calculated values
Uncorrected energy ... -80.30 eV/cell
Theoretical density ... 7.115 g cm⁻³
Energy of formation from the pure elements ... 15 kJ/mol of atoms
ΔE to the lowest computed polymorph ... 80 meV/atom

Cell: 8.9727 8.8901 9.2093 Å, 90.00 112.25 90.00°
Last column: nearest neighbours and their distance in Å.
Element x y z (fractional)
Ac1 0.1755 0.1490 0.0498  7 Pm 3.62-3.87, 1 Ac 3.95
Ac2 0.1755 0.3510 0.5498  7 Pm 3.62-3.87, 1 Ac 3.95
Ac3 0.8245 0.6490 0.4502  7 Pm 3.62-3.87, 1 Ac 3.95
Ac4 0.8245 0.8510 0.9502  7 Pm 3.62-3.87, 1 Ac 3.95
Pm1 0.0794 0.5356 0.8675  1 Pm 3.32, 4 Pr 3.33-3.52
Pm2 0.0794 0.9644 0.3675  1 Pm 3.32, 4 Pr 3.33-3.52
Pm3 0.4763 0.1364 0.8546  5 Pr 3.38-3.56, 1 Pm 3.52, 2 Ac 3.62-3.77
Pm4 0.4763 0.3636 0.3546  5 Pr 3.38-3.56, 1 Pm 3.52, 2 Ac 3.62-3.77
Pm5 0.5237 0.6364 0.6454  5 Pr 3.38-3.56, 1 Pm 3.52, 2 Ac 3.62-3.77
Pm6 0.5237 0.8636 0.1454  5 Pr 3.38-3.56, 1 Pm 3.52, 2 Ac 3.62-3.77
Pm7 0.9206 0.0356 0.6325  1 Pm 3.32, 4 Pr 3.33-3.52
Pm8 0.9206 0.4644 0.1325  1 Pm 3.32, 4 Pr 3.33-3.52
Pr1 0.2501 0.6785 0.2516  6 Pm 3.33-3.55
Pr2 0.2501 0.8215 0.7516  6 Pm 3.33-3.55
Pr3 0.5000 0.0000 0.5000  6 Pm 3.47-3.56, 2 Pr 3.81
Pr4 0.5000 0.5000 0.0000  6 Pm 3.47-3.56, 2 Pr 3.81
Pr5 0.7499 0.1785 0.2484  6 Pm 3.33-3.55
Pr6 0.7499 0.3215 0.7484  6 Pm 3.33-3.55